CaAc2Co2O6 (PBE with a Hubbard U, optimized geometry); E_tot = -6.678 eV per atom
1.0
3.0016 1.7330 5.7859
-3.0016 1.7330 5.7859
0.0000 -3.4659 5.7859
Ca Ac Co O
1 2 2 6
Direct
0.0000 0.0000 0.0000
0.2042 0.2042 0.2042
0.7958 0.7958 0.7958
0.4350 0.4350 0.4350
0.5650 0.5650 0.5650
0.2132 0.7484 0.7484
0.2516 0.2516 0.7868
0.2516 0.7867 0.2516
0.7484 0.2132 0.7484
0.7484 0.7484 0.2132
0.7868 0.2516 0.2516